Material: SrZnI2N
Method: DFT, PBE
State: optimized geometry

abc: 5.9809 5.9809 3.8743
angles: 90.00 90.00 90.00
Closest atoms and distances in Å follow each position.
Sites, in units of the cell vectors:
Sr (0.0000, 0.0000, 0.0000)  8 I 3.56, 2 Sr 3.87
Zn (0.5000, 0.5000, 0.5000)  2 N 1.94
I (0.0000, 0.5000, 0.5000)  2 Zn 2.99
I (0.5000, 0.0000, 0.5000)  2 Zn 2.99
N (0.5000, 0.5000, 0.0000)  2 Zn 1.94

Calculated values
- SG = P4/mmm (123)
- energy above the most stable polymorph in this dataset (meV per atom) = 0

***

Material: TaIN2
Method: DFT, PBE
State: optimized geometry

abc: 7.1494 7.1494 7.1494
angles: 26.22 26.22 26.22
Closest atoms and distances in Å follow each position.
Sites, in units of the cell vectors:
Ta (0.0000, 0.0000, 0.0000)  6 N 2.15
I (0.5000, 0.5000, 0.5000)  2 N 2.40
N (0.3842, 0.3842, 0.3842)  3 Ta 2.15, 1 I 2.40
N (0.6158, 0.6158, 0.6158)  3 Ta 2.15, 1 I 2.40

Calculated values
- SG = R-3m (166)
- energy above the most stable polymorph in this dataset (meV per atom) = 0

***

Material: TaIN2
Method: DFT, PBE
State: optimized geometry

abc: 6.3182 6.3182 6.3182
angles: 120.02 120.02 89.96
Closest atoms and distances in Å follow each position.
Sites, in units of the cell vectors:
Ta (0.0000, 0.0000, 0.0000)  4 N 1.93
Ta (0.7500, 0.2500, 0.5000)  4 N 1.93
I (0.2500, 0.7500, 0.5000)  12 N 3.68-3.72, 4 I 3.87, 4 Ta 3.87
I (0.5000, 0.5000, 0.0000)  12 N 3.68-3.72, 4 Ta 3.87, 4 I 3.87
N (0.3750, 0.1285, 0.2535)  2 Ta 1.93
N (0.8715, 0.1250, 0.2465)  2 Ta 1.93
N (0.8750, 0.1215, 0.7465)  2 Ta 1.93
N (0.8785, 0.6250, 0.7535)  2 Ta 1.93

Calculated values
- SG = I-42d (122)
- energy above the most stable polymorph in this dataset (meV per atom) = 78

***

Material: TaI2N2
Method: DFT, PBE
State: optimized geometry

abc: 4.0827 4.0827 7.4795
angles: 90.00 90.00 90.00
Closest atoms and distances in Å follow each position.
Sites, in units of the cell vectors:
Ta (0.0000, 0.0000, 0.0000)  4 I 2.89
I (0.5000, 0.5000, 0.0000)  4 Ta 2.89
I (0.5000, 0.5000, 0.5000)  4 N 2.04
N (0.0000, 0.5000, 0.5000)  2 I 2.04
N (0.5000, 0.0000, 0.5000)  2 I 2.04

Calculated values
- SG = P4/mmm (123)
- energy above the most stable polymorph in this dataset (meV per atom) = 1763

***

Total energy, respectively: -3.069; -7.557; -7.479; -3.910 eV per atom.